## AlTl2Ru (PBE)

Data for crystalline AlTl2Ru at its relaxed geometry.

Energy relative to the elements: 0.215 eV/atom
Volume: 256.4 Å³/cell
ρ: 7.0 Mg/m³

a = 10.4253 Å, b = 10.4253 Å, c = 7.7402 Å
α = 47.67°, β = 47.67°, γ = 90.00°
With the nearest neighbours (Å) after each atom.
Fractional coordinates of all 8 atoms:
Ru  0.0000  0.0000  0.0000  2 Al 2.36
Ru  0.7500  0.2500  0.5000  2 Al 2.36
Al  0.5000  0.5000  0.0000  2 Ru 2.36
Al  0.2500  0.7500  0.5000  2 Ru 2.36
Tl  0.8750  0.1246  0.7500  2 Ru 2.67
Tl  0.8754  0.6250  0.2500  2 Ru 2.67
Tl  0.8746  0.1250  0.2500  2 Ru 2.67
Tl  0.3750  0.1254  0.7500  2 Ru 2.67

=====

## AlTl2Ru (PBE)

Data for crystalline AlTl2Ru at its relaxed geometry.

Energy relative to the elements: 0.538 eV/atom
Volume: 84.9 Å³/cell
ρ: 10.5 Mg/m³

a = 3.1445 Å, b = 3.1445 Å, c = 8.5902 Å
α = 90.00°, β = 90.00°, γ = 90.00°
With the nearest neighbours (Å) after each atom.
Fractional coordinates of all 4 atoms:
Ru  0.5000  0.5000  0.7500  8 Tl 2.89, 4 Ru 3.14
Al  0.5000  0.5000  0.2500  4 Al 3.14, 8 Tl 3.30
Tl  0.0000  0.0000  0.9654  4 Ru 2.89, 4 Tl 3.14
Tl  0.0000  0.0000  0.5346  4 Ru 2.89, 4 Tl 3.14

=====

## TmAl10Ru2 (PBE)

Data for crystalline TmAl10Ru2 at its relaxed geometry.

Energy relative to the elements: -0.511 eV/atom
Volume: 423.5 Å³/cell
ρ: 5.0 Mg/m³

a = 6.8348 Å, b = 6.8348 Å, c = 9.1267 Å
α = 90.00°, β = 90.00°, γ = 96.67°
With the nearest neighbours (Å) after each atom.
Fractional coordinates of all 26 atoms:
Al  0.7814  0.5204  0.2500  7 Al 2.66-2.92, 2 Ru 2.74
Al  0.5204  0.7814  0.7500  7 Al 2.66-2.92, 2 Ru 2.74
Al  0.8565  0.5860  0.7500  2 Ru 2.58, 8 Al 2.66-2.89
Al  0.8450  0.1550  0.3999  2 Ru 2.63, 8 Al 2.63-2.92
Al  0.2245  0.2245  0.5000  2 Ru 2.56, 6 Al 2.71-2.84
Al  0.6234  0.3766  0.5477  6 Al 2.63-2.84, 2 Ru 2.65
Al  0.4140  0.1435  0.7500  2 Ru 2.58, 8 Al 2.66-2.89
Al  0.4796  0.2186  0.2500  7 Al 2.66-2.92, 2 Ru 2.74
Al  0.3766  0.6234  0.0477  6 Al 2.63-2.84, 2 Ru 2.65
Al  0.1550  0.8450  0.6001  2 Ru 2.63, 8 Al 2.63-2.92
Al  0.8450  0.1550  0.1001  2 Ru 2.63, 8 Al 2.63-2.92
Al  0.3766  0.6234  0.4523  6 Al 2.63-2.84, 2 Ru 2.65
Al  0.2245  0.2245  0.0000  2 Ru 2.56, 6 Al 2.71-2.84
Al  0.6234  0.3766  0.9523  6 Al 2.63-2.84, 2 Ru 2.65
Al  0.2186  0.4796  0.7500  7 Al 2.66-2.92, 2 Ru 2.74
Al  0.5860  0.8565  0.2500  2 Ru 2.58, 8 Al 2.66-2.89
Al  0.1435  0.4140  0.2500  2 Ru 2.58, 8 Al 2.66-2.89
Al  0.7755  0.7755  0.5000  2 Ru 2.56, 6 Al 2.71-2.84
Al  0.1550  0.8450  0.8999  2 Ru 2.63, 8 Al 2.63-2.92
Al  0.7755  0.7755  0.0000  2 Ru 2.56, 6 Al 2.71-2.84
Ru  0.0000  0.5000  0.0000  10 Al 2.56-2.74
Ru  0.5000  0.0000  0.0000  10 Al 2.56-2.74
Ru  0.5000  0.0000  0.5000  10 Al 2.56-2.74
Ru  0.0000  0.5000  0.5000  10 Al 2.56-2.74
Tm  0.1287  0.8713  0.2500  14 Al 3.13-3.33, 4 Ru 3.45
Tm  0.8713  0.1287  0.7500  14 Al 3.13-3.33, 4 Ru 3.45

=====

What did the first record say?
## AlTl2Ru (PBE)

Data for crystalline AlTl2Ru at its relaxed geometry.

Energy relative to the elements: 0.215 eV/atom
Volume: 256.4 Å³/cell
ρ: 7.0 Mg/m³

a = 10.4253 Å, b = 10.4253 Å, c = 7.7402 Å
α = 47.67°, β = 47.67°, γ = 90.00°
With the nearest neighbours (Å) after each atom.
Fractional coordinates of all 8 atoms:
Ru  0.0000  0.0000  0.0000  2 Al 2.36
Ru  0.7500  0.2500  0.5000  2 Al 2.36
Al  0.5000  0.5000  0.0000  2 Ru 2.36
Al  0.2500  0.7500  0.5000  2 Ru 2.36
Tl  0.8750  0.1246  0.7500  2 Ru 2.67
Tl  0.8754  0.6250  0.2500  2 Ru 2.67
Tl  0.8746  0.1250  0.2500  2 Ru 2.67
Tl  0.3750  0.1254  0.7500  2 Ru 2.67

=====

What is the ρ in the second record? 10.5 Mg/m³